DFT (GGA-PBE) results for a geometry-optimized BaLi2PIr structure. Values from VASP.

```
&SYSTEM
  ibrav = 0, nat = 5, ntyp = 4
/
ATOMIC_SPECIES
Ba 137.33 Ba.upf
Li 6.94 Li.upf
P 30.97 P.upf
Ir 192.22 Ir.upf
CELL_PARAMETERS angstrom
4.926 0.000 0.000
0.000 4.926 0.000
0.000 0.000 4.467
ATOMIC_POSITIONS angstrom
Ba 0.000 0.000 0.000
Li 0.000 2.463 2.233
Li 2.463 0.000 2.233
P 2.463 2.463 0.000
Ir 2.463 2.463 2.233
```

total magnetic moment: 0.00 μB per cell
calculated formation energy: -0.482 eV per atom
E: -4.486 eV/atom

DFT (GGA-PBE) results for a geometry-optimized CuW2Br structure. Values from VASP.

```
&SYSTEM
  ibrav = 0, nat = 4, ntyp = 3
/
ATOMIC_SPECIES
Cu 63.55 Cu.upf
W 183.84 W.upf
Br 79.90 Br.upf
CELL_PARAMETERS angstrom
3.038 0.000 0.000
0.000 4.573 0.000
0.000 0.000 4.741
ATOMIC_POSITIONS angstrom
Cu 0.000 0.000 0.000
W 0.000 2.286 2.370
W 1.519 0.000 2.370
Br 1.519 2.286 0.000
```

ΔE_f (raw): 1.081 eV per atom
total magnetic moment: 0.00 μB per cell
E: -6.838 eV/atom

DFT (GGA-PBE) results for a geometry-optimized LaNpN2O structure. Values from VASP.

```
&SYSTEM
  ibrav = 0, nat = 10, ntyp = 4
/
ATOMIC_SPECIES
La 138.91 La.upf
Np 237.00 Np.upf
N 14.01 N.upf
O 16.00 O.upf
CELL_PARAMETERS angstrom
3.796 0.000 0.000
0.000 3.796 0.000
0.000 0.000 11.091
ATOMIC_POSITIONS angstrom
La 0.949 0.949 1.342
La 2.847 2.847 9.750
Np 0.949 0.949 6.631
Np 2.847 2.847 4.460
N 0.949 0.949 4.663
N 0.949 0.949 8.470
N 2.847 2.847 2.621
N 2.847 2.847 6.428
O 0.949 2.847 0.000
O 2.847 0.949 0.000
```

ΔE_f (raw): -1.789 eV per atom
total magnetic moment: 3.54 μB per cell
E: -9.684 eV/atom

DFT (GGA-PBE) results for a geometry-optimized AcPrSmEr2 structure. Values from VASP.

```
&SYSTEM
  ibrav = 0, nat = 10, ntyp = 4
/
ATOMIC_SPECIES
Ac 227.00 Ac.upf
Pr 140.91 Pr.upf
Sm 150.36 Sm.upf
Er 167.26 Er.upf
CELL_PARAMETERS angstrom
3.238 -8.749 0.000
3.238 8.749 0.000
0.000 0.000 6.559
ATOMIC_POSITIONS angstrom
Ac 3.238 5.993 4.919
Ac 3.238 -5.993 1.640
Pr 3.238 2.662 4.919
Pr 3.238 -2.662 1.640
Sm 3.238 4.859 1.640
Sm 3.238 -4.859 4.919
Er 1.605 0.000 0.000
Er 1.605 0.000 3.280
Er 4.871 0.000 0.000
Er 4.871 0.000 3.280
```

total magnetic moment: 0.00 μB per cell
calculated formation energy: 0.361 eV per atom
E: -4.185 eV/atom

DFT (GGA-PBE) results for a geometry-optimized Li2Ce3As2O5 structure. Values from VASP.

```
&SYSTEM
  ibrav = 0, nat = 12, ntyp = 4
/
ATOMIC_SPECIES
Li 6.94 Li.upf
Ce 140.12 Ce.upf
As 74.92 As.upf
O 16.00 O.upf
CELL_PARAMETERS angstrom
-1.911 1.911 12.127
1.911 -1.911 12.127
1.911 1.911 -12.127
ATOMIC_POSITIONS angstrom
Li 0.000 0.000 1.872
Li 0.000 0.000 22.382
Ce 0.000 0.000 8.681
Ce 0.000 0.000 12.127
Ce 0.000 0.000 15.573
As 0.000 0.000 5.695
As 0.000 0.000 18.559
O 0.000 0.000 0.000
O 1.911 0.000 2.282
O 1.911 0.000 9.845
O 0.000 1.911 2.282
O 0.000 1.911 9.845
```

ΔE_f (raw): -2.263 eV per atom
total magnetic moment: 1.87 μB per cell
E: -6.907 eV/atom

DFT (GGA-PBE) results for a geometry-optimized K2RbPrF6 structure. Values from VASP.

```
&SYSTEM
  ibrav = 0, nat = 10, ntyp = 4
/
ATOMIC_SPECIES
K 39.10 K.upf
Rb 85.47 Rb.upf
Pr 140.91 Pr.upf
F 19.00 F.upf
CELL_PARAMETERS angstrom
3.337 1.926 5.763
-3.337 1.926 5.763
0.000 -3.853 5.763
ATOMIC_POSITIONS angstrom
K 0.000 0.000 0.000
K 0.000 0.000 8.524
Rb 0.000 0.000 3.738
Pr 0.000 0.000 12.247
F -2.501 -0.048 7.536
F -0.886 -1.499 10.681
F 1.292 -2.142 7.536
F -0.855 1.517 10.681
F 1.209 2.190 7.536
F 1.742 -0.018 10.681
```

ΔE_f (raw): -3.275 eV per atom
total magnetic moment: 0.34 μB per cell
E: -5.192 eV/atom